No. 1
# YTi2Mn2

A geometry-optimized YTi2Mn2 structure (PBE, Alexandria).

CIF file:
```
data_YTi2Mn2
_chemical_formula_sum 'Y2 Ti4 Mn4'
_space_group_name_H-M_alt 'P 4/m b m'
_space_group_IT_number 127
_space_group_name_Hall '-P 4 2ab'
_cell_length_a 7.5176
_cell_length_b 7.5176
_cell_length_c 3.1063
_cell_angle_alpha 90.00
_cell_angle_beta 90.00
_cell_angle_gamma 90.00
loop_
_atom_site_label
_atom_site_fract_x
_atom_site_fract_y
_atom_site_fract_z
_atom_site_occupancy
Y1 0.0000 0.0000 0.0000 1
Ti1 0.1407 0.3593 0.5000 1
Mn1 0.1347 0.6347 0.0000 1
```

Properties
The energy above the most stable polymorph in this dataset is 13 meV/atom.

No. 2
# Y2TiMn

A geometry-optimized Y2TiMn structure (PBE, Alexandria).

CIF file:
```
data_Y2TiMn
_chemical_formula_sum 'Y8 Ti4 Mn4'
_space_group_name_H-M_alt 'I -4 2 d'
_space_group_IT_number 122
_space_group_name_Hall 'I -4 2bw'
_cell_length_a 7.8802
_cell_length_b 7.8802
_cell_length_c 5.8612
_cell_angle_alpha 90.00
_cell_angle_beta 90.00
_cell_angle_gamma 90.00
loop_
_atom_site_label
_atom_site_fract_x
_atom_site_fract_y
_atom_site_fract_z
_atom_site_occupancy
Y1 0.1979 0.2500 0.1250 1
Ti1 0.0000 0.0000 0.5000 1
Mn1 0.0000 0.0000 0.0000 1
```

Properties
The energy above the most stable polymorph in this dataset is 233 meV/atom.

No. 3
# YTi2Mn2

A geometry-optimized YTi2Mn2 structure (PBE, Alexandria).

CIF file:
```
data_YTi2Mn2
_chemical_formula_sum 'Y2 Ti4 Mn4'
_space_group_name_H-M_alt 'I 4/m m m'
_space_group_IT_number 139
_space_group_name_Hall '-I 4 2'
_cell_length_a 4.0196
_cell_length_b 4.0196
_cell_length_c 10.8664
_cell_angle_alpha 90.00
_cell_angle_beta 90.00
_cell_angle_gamma 90.00
loop_
_atom_site_label
_atom_site_fract_x
_atom_site_fract_y
_atom_site_fract_z
_atom_site_occupancy
Y1 0.0000 0.0000 0.0000 1
Ti1 0.0000 0.5000 0.2500 1
Mn1 0.0000 0.0000 0.3970 1
```

Properties
The energy above the most stable polymorph in this dataset is 0 meV/atom.

No. 4
# TiMnZn5

A geometry-optimized TiMnZn5 structure (PBE, Alexandria).

CIF file:
```
data_TiMnZn5
_chemical_formula_sum 'Ti2 Mn2 Zn10'
_space_group_name_H-M_alt 'C m m m'
_space_group_IT_number 65
_space_group_name_Hall '-C 2 2'
_cell_length_a 6.0093
_cell_length_b 6.4682
_cell_length_c 5.8582
_cell_angle_alpha 90.00
_cell_angle_beta 90.00
_cell_angle_gamma 90.00
loop_
_atom_site_label
_atom_site_fract_x
_atom_site_fract_y
_atom_site_fract_z
_atom_site_occupancy
Ti1 0.0000 0.0000 0.0000 1
Mn1 0.0000 0.5000 0.5000 1
Zn1 0.0000 0.0000 0.5000 1
Zn2 0.2500 0.2500 0.2397 1
```

No. 5
# Ti6MnZn5

A geometry-optimized Ti6MnZn5 structure (PBE, Alexandria).

CIF file:
```
data_Ti6MnZn5
_chemical_formula_sum 'Ti12 Mn2 Zn10'
_space_group_name_H-M_alt 'I m m m'
_space_group_IT_number 71
_space_group_name_Hall '-I 2 2'
_cell_length_a 4.4115
_cell_length_b 6.2799
_cell_length_c 13.1201
_cell_angle_alpha 90.00
_cell_angle_beta 90.00
_cell_angle_gamma 90.00
loop_
_atom_site_label
_atom_site_fract_x
_atom_site_fract_y
_atom_site_fract_z
_atom_site_occupancy
Ti1 0.0000 0.2351 0.0000 1
Ti2 0.0000 0.2617 0.3416 1
Mn1 0.0000 0.5000 0.5000 1
Zn1 0.0000 0.0000 0.1757 1
Zn2 0.0000 0.0000 0.5000 1
Zn3 0.0000 0.5000 0.1666 1
```

No. 6
# Ti3MnZn2

A geometry-optimized Ti3MnZn2 structure (PBE, Alexandria).

CIF file:
```
data_Ti3MnZn2
_chemical_formula_sum 'Ti3 Mn1 Zn2'
_space_group_name_H-M_alt 'P 4/m m m'
_space_group_IT_number 123
_space_group_name_Hall '-P 4 2'
_cell_length_a 3.0417
_cell_length_b 3.0417
_cell_length_c 9.5991
_cell_angle_alpha 90.00
_cell_angle_beta 90.00
_cell_angle_gamma 90.00
loop_
_atom_site_label
_atom_site_fract_x
_atom_site_fract_y
_atom_site_fract_z
_atom_site_occupancy
Ti1 0.0000 0.0000 0.0000 1
Ti2 0.0000 0.0000 0.3535 1
Mn1 0.5000 0.5000 0.5000 1
Zn1 0.5000 0.5000 0.1760 1
```

The evaluated DFT formation energy for the records listed, in turn: 0.096 0.760 0.083 0.148 -0.207 -0.242 eV/atom.